No. 1
Density functional theory data (GGA-PBEsol) for Fe2AgCl after structural relaxation.

POSCAR file:
```
Fe2AgCl
1.0
4.370 0.000 0.000
2.185 3.785 0.000
2.185 1.262 3.568
Fe Cl Ag
2 1 1
direct
0.750 0.750 0.750
0.000 0.000 0.000
0.250 0.250 0.250
0.500 0.500 0.500
```

Properties
formation energy from raw total energies	0.811	eV/atom
final energy	-20.0	eV for the cell shown
space-group type	F-43m
density of states at the Fermi level	4.18	states/eV/cell



No. 2
Density functional theory data (GGA-PBEsol) for ZnFe2H2 after structural relaxation.

POSCAR file:
```
ZnFe2H2
1.0
-1.335 0.077 2.735
1.929 -2.131 1.002
2.423 4.074 -0.627
H Zn Fe
2 1 2
direct
0.250 0.750 0.500
0.750 0.250 0.500
0.000 0.000 0.000
0.660 0.660 0.319
0.340 0.340 0.681
```

Properties
final energy	-26.1	eV for the cell shown
space-group type	I4/mmm
density of states at the Fermi level	2.29	states/eV/cell



No. 3
Density functional theory data (GGA-PBEsol) for SrCu2Au after structural relaxation.

POSCAR file:
```
SrCu2Au
1.0
4.363 0.000 0.000
-2.182 3.768 -0.139
0.000 -2.340 5.129
Au Cu Sr
1 2 1
direct
0.000 0.000 0.500
0.693 0.385 0.578
0.307 0.615 0.422
0.500 0.000 0.000
```

Properties
formation enthalpy at 0 K	-0.22	eV per atom
final energy	-15.3	eV for the cell shown
space-group type	C2/m
density of states at the Fermi level	1.75	states/eV/cell



No. 4
Density functional theory data (GGA-PBEsol) for TcAuS2 after structural relaxation.

POSCAR file:
```
TcAuS2
1.0
5.368 0.000 0.000
0.000 5.368 0.000
-2.684 -2.684 5.426
Au S Tc
2 4 2
direct
0.250 0.750 0.500
0.000 0.000 0.000
0.410 0.875 0.250
0.625 0.590 0.750
0.125 0.160 0.750
0.840 0.375 0.250
0.500 0.500 0.000
0.750 0.250 0.500
```

Properties
formation energy from raw total energies	-0.002	eV/atom
final energy	-47.9	eV for the cell shown
space-group type	I-42d
density of states at the Fermi level	5.28	states/eV/cell



No. 5
Density functional theory data (GGA-PBEsol) for Ba3CaMo after structural relaxation.

POSCAR file:
```
Ba3CaMo
1.0
5.991 0.000 0.000
0.000 5.991 0.000
0.000 0.000 5.991
Ba Ca Mo
3 1 1
direct
0.000 0.000 0.500
0.000 0.500 0.000
0.500 0.000 0.000
0.500 0.500 0.500
0.000 0.000 0.000
```

Properties
formation enthalpy at 0 K	0.68	eV per atom
final energy	-16.9	eV for the cell shown
space-group type	Pm-3m
density of states at the Fermi level	4.93	states/eV/cell



No. 6
Density functional theory data (GGA-PBEsol) for Cd3Cu5 after structural relaxation.

POSCAR file:
```
Cd3Cu5
1.0
2.999 0.000 0.000
0.000 2.999 0.000
0.000 0.000 12.745
Cu Cd
5 3
direct
0.500 0.500 0.366
0.500 0.500 0.634
0.000 0.000 0.732
0.000 0.000 0.268
0.000 0.000 0.000
0.500 0.500 0.134
0.500 0.500 0.866
0.000 0.000 0.500
```

Properties
formation enthalpy at 0 K	0.06	eV per atom
final energy	-24.8	eV for the cell shown
space-group type	P4/mmm
density of states at the Fermi level	2.60	states/eV/cell



No. 7
Density functional theory data (GGA-PBEsol) for Li4V2Co3Cu3O16 after structural relaxation.

POSCAR file:
```
Li4V2Co3Cu3O16
1.0
5.592 0.000 0.000
-2.796 5.054 -0.147
0.000 -0.525 9.164
Li O Co Cu V
4 16 3 3 2
direct
0.653 0.306 0.400
0.338 0.676 0.895
0.007 0.014 0.995
0.992 0.984 0.491
0.844 0.688 0.084
0.515 0.477 0.840
0.030 0.483 0.358
0.469 0.939 0.344
0.527 0.054 0.834
0.452 0.483 0.358
0.013 0.027 0.804
0.962 0.477 0.840
0.163 0.326 0.606
0.856 0.224 0.087
0.368 0.224 0.087
0.653 0.307 0.611
0.321 0.642 0.119
0.654 0.830 0.591
0.013 0.026 0.298
0.176 0.830 0.591
0.341 0.173 0.713
0.172 0.344 0.216
0.833 0.173 0.713
0.831 0.663 0.714
0.662 0.828 0.213
0.166 0.828 0.213
0.315 0.630 0.500
0.668 0.336 0.992
```

Properties
formation energy from raw total energies	-1.457	eV/atom
final energy	-188.1	eV for the cell shown
space-group type	Cm
density of states at the Fermi level	9.84	states/eV/cell



No. 8
Density functional theory data (GGA-PBEsol) for SrIn2Br after structural relaxation.

POSCAR file:
```
SrIn2Br
1.0
4.310 0.000 0.000
0.000 4.310 0.000
-2.155 -2.155 6.322
In Sr Br
2 1 1
direct
0.750 0.250 0.500
0.250 0.750 0.500
0.500 0.500 0.000
0.000 0.000 0.000
```

Properties
formation energy from raw total energies	-0.670	eV/atom
final energy	-12.4	eV for the cell shown
space-group type	I4/mmm
density of states at the Fermi level	2.99	states/eV/cell